1.
A plane-wave DFT calculation with GGA-PBE was carried out for BiB3Cl after structural relaxation.

Uncorrected formation energy   2337.2 meV per atom
Space group   No. 221
D(E_F)   2.68 states/eV per cell

Lattice parameters (Å, degrees): 4.9170 4.9170 4.9170 90.00 90.00 90.00
Sites, in units of the cell vectors:
Bi 0.0000 0.0000 0.0000
B 0.0000 0.0000 0.5000
B 0.0000 0.5000 0.0000
B 0.5000 0.0000 0.0000
Cl 0.5000 0.5000 0.5000

2.
A plane-wave DFT calculation with GGA-PBE was carried out for Ba3B2PdS6 after structural relaxation.

Uncorrected formation energy   -1114.0 meV per atom
Space group   No. 164
D(E_F)   1.99 states/eV per cell

Lattice parameters (Å, degrees): 6.7018 6.7018 8.2403 90.00 90.00 120.00
Sites, in units of the cell vectors:
Ba 0.0000 0.0000 0.0000
Ba 0.3333 0.6667 0.6416
Ba 0.6667 0.3333 0.3584
B 0.3333 0.6667 0.2654
B 0.6667 0.3333 0.7346
Pd 0.0000 0.0000 0.5000
S 0.1767 0.3535 0.2842
S 0.1767 0.8233 0.2842
S 0.3535 0.1767 0.7158
S 0.6465 0.8233 0.2842
S 0.8233 0.1767 0.7158
S 0.8233 0.6465 0.7158